This record from the Open Quantum Materials Database describes an optimized crystal structure of La2Ga5Hg. The functional is PBE.

Properties
Total energy ... -59.26 eV per cell
Crystal system ... orthorhombic

CIF file:
```
data_La2Ga5Hg
_chemical_formula_sum 'La4 Ga10 Hg2'
_cell_length_a 4.6227
_cell_length_b 6.7559
_cell_length_c 11.5795
_cell_angle_alpha 90.00
_cell_angle_beta 90.00
_cell_angle_gamma 90.00
_space_group_name_H-M_alt 'A m m 2'
_space_group_IT_number 38
loop_
_space_group_symop_operation_xyz
'x,y,z'
'-x,-y,z'
'-x,y,z'
'x,-y,z'
'x,y+1/2,z+1/2'
'-x,-y+1/2,z+1/2'
'-x,y+1/2,z+1/2'
'x,-y+1/2,z+1/2'
loop_
_atom_site_label
_atom_site_fract_x
_atom_site_fract_y
_atom_site_fract_z
La1 0.0000 0.0000 0.0000
La2 0.5000 0.0000 0.3259
Ga1 0.0000 0.2164 0.7410
Ga2 0.5000 0.0000 0.8046
Ga3 0.5000 0.2145 0.5977
Hg1 0.0000 0.0000 0.5148
```